#A
Entry from the Alexandria database: a relaxed LiCo3H crystal (PBE-GGA).

abc: 3.5961 3.5961 3.5961
angles: 90.00 90.00 90.00
Last column: nearest neighbours and their distance in Å.
Fractional coordinates of all 5 atoms:
1 Co 0.5000 0.0000 0.0000  2 H 1.80
2 Li 0.5000 0.5000 0.5000  12 Co 2.54
3 Co 0.0000 0.0000 0.5000  2 H 1.80
4 Co 0.0000 0.5000 0.0000  2 H 1.80
5 H 0.0000 0.0000 0.0000  6 Co 1.80

## Properties
The calculation puts the density of states at the Fermi level at 5.168 states/eV/f.u.

---

#B
Entry from the Alexandria database: a relaxed LiCo3H crystal (PBE-GGA).

abc: 3.9104 3.9104 3.9104
angles: 90.00 90.00 90.00
Last column: nearest neighbours and their distance in Å.
Fractional coordinates of all 5 atoms:
1 H 0.5000 0.5000 0.5000  12 Co 2.77
2 Co 0.5000 0.0000 0.0000  2 Li 1.96
3 Li 0.0000 0.0000 0.0000  6 Co 1.96
4 Co 0.0000 0.0000 0.5000  2 Li 1.96
5 Co 0.0000 0.5000 0.0000  2 Li 1.96

## Properties
The calculation puts the density of states at the Fermi level at 5.317 states/eV/f.u.

---

Most stable pick: #A. Distance to second place: 1488 meV per atom.

---

#A
Entry from the Alexandria database: a relaxed LiCo2NiH crystal (PBE-GGA).

abc: 3.5357 3.5357 3.7239
angles: 90.00 90.00 90.00
Last column: nearest neighbours and their distance in Å.
Fractional coordinates of all 5 atoms:
1 Co 0.0000 0.5000 0.0000  2 H 1.77
2 Li 0.5000 0.5000 0.5000  4 Ni 2.50, 8 Co 2.57
3 H 0.0000 0.0000 0.0000  4 Co 1.77, 2 Ni 1.86
4 Co 0.5000 0.0000 0.0000  2 H 1.77
5 Ni 0.0000 0.0000 0.5000  2 H 1.86

## Properties
The calculation puts the density of states at the Fermi level at 5.544 states/eV/f.u.

---

#B
Entry from the Alexandria database: a relaxed LiCo2NiH crystal (PBE-GGA).

abc: 3.5226 3.5226 3.7082
angles: 90.00 90.00 90.00
Last column: nearest neighbours and their distance in Å.
Fractional coordinates of all 5 atoms:
1 Co 0.0000 0.5000 0.0000  2 H 1.76
2 Li 0.0000 0.0000 0.5000  2 H 1.85
3 H 0.0000 0.0000 0.0000  4 Co 1.76, 2 Li 1.85
4 Ni 0.5000 0.5000 0.5000  4 Li 2.49, 8 Co 2.56
5 Co 0.5000 0.0000 0.0000  2 H 1.76

## Properties
The calculation puts the density of states at the Fermi level at 6.552 states/eV/f.u.

---

Most stable pick: #B. Distance to second place: 26 meV per atom.

---

#A
Entry from the Alexandria database: a relaxed Li2CoHPb crystal (PBE-GGA).

abc: 3.7463 4.8581 3.7463
angles: 90.00 90.00 90.00
Last column: nearest neighbours and their distance in Å.
Fractional coordinates of all 5 atoms:
1 Pb 0.0000 0.5000 0.0000  2 H 2.43, 4 Co 2.65
2 Li 0.5000 0.0000 0.0000  2 H 1.87
3 Li 0.0000 0.0000 0.5000  2 H 1.87
4 Co 0.5000 0.5000 0.5000  4 Pb 2.65
5 H 0.0000 0.0000 0.0000  4 Li 1.87

## Properties
The calculation puts the density of states at the Fermi level at 1.891 states/eV/f.u.

---

#B
Entry from the Alexandria database: a relaxed Li2CoHPb crystal (PBE-GGA).

abc: 4.1754 4.1754 3.5648
angles: 90.00 90.00 90.00
Last column: nearest neighbours and their distance in Å.
Fractional coordinates of all 5 atoms:
1 Co 0.0000 0.0000 0.5000  2 H 1.78
2 H 0.0000 0.0000 0.0000  2 Co 1.78
3 Li 0.5000 0.0000 0.0000  2 H 2.09
4 Pb 0.5000 0.5000 0.5000  8 Li 2.75, 4 Co 2.95
5 Li 0.0000 0.5000 0.0000  2 H 2.09

## Properties
The calculation puts the density of states at the Fermi level at 3.091 states/eV/f.u.

---

Most stable pick: #B. Distance to second place: 187 meV per atom.

---

#A
Entry from the Alexandria database: a relaxed LiCo2HPd crystal (PBE-GGA).

abc: 3.5386 3.5386 4.1226
angles: 90.00 90.00 90.00
Last column: nearest neighbours and their distance in Å.
Fractional coordinates of all 5 atoms:
1 H 0.0000 0.0000 0.0000  4 Co 1.77
2 Co 0.5000 0.0000 0.0000  2 H 1.77
3 Li 0.5000 0.5000 0.5000  4 Pd 2.50, 8 Co 2.72
4 Pd 0.0000 0.0000 0.5000  2 H 2.06
5 Co 0.0000 0.5000 0.0000  2 H 1.77

## Properties
The calculation puts the density of states at the Fermi level at 5.089 states/eV/f.u.

---

#B
Entry from the Alexandria database: a relaxed LiCo2HPd crystal (PBE-GGA).

abc: 3.5244 3.5244 4.0791
angles: 90.00 90.00 90.00
Last column: nearest neighbours and their distance in Å.
Fractional coordinates of all 5 atoms:
1 Pd 0.5000 0.5000 0.5000  4 Li 2.49, 8 Co 2.70
2 Co 0.0000 0.5000 0.0000  2 H 1.76
3 H 0.0000 0.0000 0.0000  4 Co 1.76
4 Co 0.5000 0.0000 0.0000  2 H 1.76
5 Li 0.0000 0.0000 0.5000  2 H 2.04

## Properties
The calculation puts the density of states at the Fermi level at 5.349 states/eV/f.u.

---

Most stable pick: #B. Distance to second place: 41 meV per atom.

---

#A
Entry from the Alexandria database: a relaxed Mg2CoH4 crystal (PBE-GGA).

abc: 4.4140 4.5209 7.7691
angles: 90.00 124.75 90.00
Last column: nearest neighbours and their distance in Å.
Fractional coordinates of all 14 atoms:
1 Mg 0.7474 0.7500 0.0014  7 H 2.07-2.28
2 Co 0.0159 0.7500 0.7497  4 H 1.54-1.55
3 Mg 0.7536 0.2500 0.4997  7 H 2.08-2.27
4 Mg 0.2526 0.2500 0.9986  7 H 2.07-2.28
5 H 0.7957 0.2500 0.0108  1 Co 1.55
6 Mg 0.2464 0.7500 0.5003  7 H 2.08-2.27
7 Co 0.9841 0.2500 0.2503  4 H 1.54-1.55
8 H 0.2727 0.2500 0.4900  1 Co 1.55
9 H 0.2043 0.7500 0.9892  1 Co 1.55
10 H 0.2426 0.4911 0.7500  1 Co 1.54
11 H 0.7574 0.5089 0.2500  1 Co 1.54
12 H 0.7574 0.9911 0.2500  1 Co 1.54
13 H 0.2426 0.0089 0.7500  1 Co 1.54
14 H 0.7273 0.7500 0.5100  1 Co 1.55

## Properties
The calculation puts the density of states at the Fermi level at 2.403 states/eV/f.u.

---

#B
Entry from the Alexandria database: a relaxed Mg2CoH4 crystal (PBE-GGA).

abc: 3.3154 3.3154 5.9012
angles: 73.69 73.69 90.00
Last column: nearest neighbours and their distance in Å.
Fractional coordinates of all 7 atoms:
1 H 0.8450 0.8450 0.3100  1 Co 1.68
2 H 0.5000 0.0000 0.0000  2 Co 1.66
3 Mg 0.3616 0.3616 0.2767  9 H 2.23-2.35
4 Co 0.0000 0.0000 0.0000  6 H 1.66-1.68
5 H 0.1550 0.1550 0.6900  1 Co 1.68
6 H 0.0000 0.5000 0.0000  2 Co 1.66
7 Mg 0.6384 0.6384 0.7233  9 H 2.23-2.35

## Properties
The calculation puts the density of states at the Fermi level at 0.964 states/eV/f.u.

---

Most stable pick: #A. Distance to second place: 84 meV per atom.

---

#A
Entry from the Alexandria database: a relaxed MgCo2H crystal (PBE-GGA).

abc: 3.9788 3.9788 3.9788
angles: 60.00 60.00 60.00
Last column: nearest neighbours and their distance in Å.
Fractional coordinates of all 4 atoms:
1 Mg 0.5000 0.5000 0.5000  8 Co 2.44
2 Co 0.7500 0.7500 0.7500  4 H 2.44, 4 Mg 2.44
3 H 0.0000 0.0000 0.0000  8 Co 2.44
4 Co 0.2500 0.2500 0.2500  4 Mg 2.44, 4 H 2.44

## Properties
The calculation puts the density of states at the Fermi level at 4.936 states/eV/f.u.

---

#B
Entry from the Alexandria database: a relaxed MgCo2H crystal (PBE-GGA).

abc: 5.0516 5.0516 5.0741
angles: 60.15 60.15 90.00
Last column: nearest neighbours and their distance in Å.
Fractional coordinates of all 8 atoms:
1 H 0.2500 0.7500 0.5000  4 Co 1.55
2 Co 0.3750 0.6250 0.7500  2 H 1.55
3 Co 0.3750 0.6250 0.2500  2 H 1.55
4 Mg 0.7500 0.2500 0.5000  12 Co 2.96-2.98, 4 H 3.10, 4 Mg 3.10
5 H 0.5000 0.5000 0.0000  4 Co 1.55
6 Co 0.3750 0.1250 0.2500  2 H 1.55
7 Co 0.8750 0.6250 0.7500  2 H 1.55
8 Mg 0.0000 0.0000 0.0000  12 Co 2.96-2.98, 4 Mg 3.10, 4 H 3.10

## Properties
The calculation puts the density of states at the Fermi level at 4.217 states/eV/f.u.

---

Most stable pick: #B. Distance to second place: 793 meV per atom.

---

#A
Entry from the Alexandria database: a relaxed Mg3CoH crystal (PBE-GGA).

abc: 4.1445 4.1445 4.1445
angles: 90.00 90.00 90.00
Last column: nearest neighbours and their distance in Å.
Fractional coordinates of all 5 atoms:
1 Mg 0.0000 0.5000 0.0000  2 H 2.07
2 Mg 0.0000 0.0000 0.5000  2 H 2.07
3 Co 0.5000 0.5000 0.5000  12 Mg 2.93
4 Mg 0.5000 0.0000 0.0000  2 H 2.07
5 H 0.0000 0.0000 0.0000  6 Mg 2.07

## Properties
The calculation puts the density of states at the Fermi level at 6.514 states/eV/f.u.

---

#B
Entry from the Alexandria database: a relaxed Mg3CoH crystal (PBE-GGA).

abc: 4.7991 4.7991 4.7991
angles: 90.00 90.00 90.00
Last column: nearest neighbours and their distance in Å.
Fractional coordinates of all 5 atoms:
1 Co 0.0000 0.0000 0.0000  6 Mg 2.40
2 Mg 0.0000 0.0000 0.5000  2 Co 2.40
3 H 0.5000 0.5000 0.5000  12 Mg 3.39
4 Mg 0.5000 0.0000 0.0000  2 Co 2.40
5 Mg 0.0000 0.5000 0.0000  2 Co 2.40

## Properties
The calculation puts the density of states at the Fermi level at 3.713 states/eV/f.u.

---

Most stable pick: #A. Distance to second place: 621 meV per atom.

---

#A
Entry from the Alexandria database: a relaxed MgCo3H crystal (PBE-GGA).

abc: 3.6972 3.6972 3.6972
angles: 90.00 90.00 90.00
Last column: nearest neighbours and their distance in Å.
Fractional coordinates of all 5 atoms:
1 Co 0.0000 0.5000 0.0000  2 H 1.85
2 Mg 0.5000 0.5000 0.5000  12 Co 2.61
3 Co 0.0000 0.0000 0.5000  2 H 1.85
4 H 0.0000 0.0000 0.0000  6 Co 1.85
5 Co 0.5000 0.0000 0.0000  2 H 1.85

## Properties
The calculation puts the density of states at the Fermi level at 6.780 states/eV/f.u.

---

#B
Entry from the Alexandria database: a relaxed MgCo3H crystal (PBE-GGA).

abc: 4.4444 4.4444 4.4444
angles: 90.00 90.00 90.00
Last column: nearest neighbours and their distance in Å.
Fractional coordinates of all 5 atoms:
1 Mg 0.0000 0.0000 0.0000  6 Co 2.22
2 Co 0.5000 0.0000 0.0000  2 Mg 2.22
3 H 0.5000 0.5000 0.5000  12 Co 3.14
4 Co 0.0000 0.0000 0.5000  2 Mg 2.22
5 Co 0.0000 0.5000 0.0000  2 Mg 2.22

## Properties
The calculation puts the density of states at the Fermi level at 4.806 states/eV/f.u.

---

Most stable pick: #A. Distance to second place: 2027 meV per atom.